# MgAlPd3, optimized geometry, DFT PBE-GGA
data_MgAlPd3
_chemical_formula_sum 'Mg1 Al1 Pd3'
_symmetry_space_group_name_H-M 'P 1'
_symmetry_Int_Tables_number 1
_cell_length_a 4.568
_cell_length_b 4.568
_cell_length_c 4.568
_cell_angle_alpha 90.00
_cell_angle_beta 90.00
_cell_angle_gamma 90.00
loop_
_symmetry_equiv_pos_as_xyz
'x,y,z'
loop_
_atom_site_label
_atom_site_fract_x
_atom_site_fract_y
_atom_site_fract_z
Pd1 0.500 0.000 0.000
Pd2 0.000 0.000 0.500
Pd3 0.000 0.500 0.000
Mg1 0.500 0.500 0.500
Al1 0.000 0.000 0.000
# Uncorrected energy = -4.382 eV/atom
# Density of states at the Fermi level = 2.8 states/eV/f.u.
# Distance to the lowest polymorph of the same formula = 2.34 eV/f.u.
# Energy of formation from the pure elements = -0.198 eV/atom
# Size of the total moment = 0.00 Bohr magnetons per cell